Entry 1:
Here is a geometry-optimized SnTe5Rh3 structure from Alexandria via LeMat-Bulk. Energies are from GGA-PBE.

abc: 4.082 5.439 19.466
angles: 89.28 90.00 90.00
Atoms (fractional coordinates):
Te 0.000 0.779 0.544
Te 0.500 0.276 0.286
Te 0.500 0.280 0.954
Te 0.000 0.207 0.123
Te 0.500 0.720 0.375
Te 0.500 0.720 0.046
Te 0.500 0.724 0.714
Te 0.500 0.280 0.625
Te 0.000 0.221 0.456
Te 0.000 0.793 0.877
Rh 0.500 0.508 0.835
Rh 0.000 0.000 0.000
Rh 0.500 0.500 0.500
Rh 0.500 0.492 0.165
Rh 0.000 0.005 0.334
Rh 0.000 0.995 0.666
Sn 0.000 0.230 0.788
Sn 0.000 0.770 0.212

Properties
E (Ry/atom): -0.374
E_form (uncorrected) (meV/atom): -448
DOS at the Fermi energy (states/eV per atom): 0.411


Entry 2:
Here is a geometry-optimized TiAgTeO2 structure from Alexandria via LeMat-Bulk. Energies are from GGA-PBE.

abc: 3.815 7.222 3.815
angles: 90.00 90.00 90.00
Atoms (fractional coordinates):
Te 0.500 0.500 0.500
Ti 0.000 0.000 0.000
O 0.000 0.000 0.500
O 0.500 0.000 0.000
Ag 0.000 0.500 0.000

Properties
E (Ry/atom): -0.434
E_form (uncorrected) (meV/atom): -1148
DOS at the Fermi energy (states/eV per atom): 0.557


Entry 3:
Here is a geometry-optimized Nd3Sm3ErTe8 structure from Alexandria via LeMat-Bulk. Energies are from GGA-PBE.

abc: 8.890 8.890 8.909
angles: 119.94 90.00 119.99
Atoms (fractional coordinates):
Er 0.000 0.000 0.500
Nd 0.500 0.500 0.000
Nd 0.000 0.000 0.000
Nd 0.000 0.500 0.000
Te 0.749 0.497 0.746
Te 0.251 0.503 0.254
Te 0.751 0.502 0.254
Te 0.249 0.997 0.746
Te 0.748 0.997 0.746
Te 0.249 0.498 0.746
Te 0.751 0.003 0.254
Te 0.252 0.003 0.254
Sm 0.500 0.000 0.500
Sm 0.000 0.500 0.500
Sm 0.500 0.500 0.500

Properties
E (Ry/atom): -0.390
E_form (uncorrected) (meV/atom): -1430
DOS at the Fermi energy (states/eV per atom): 0.475


Entry 4:
Here is a geometry-optimized HgMo2 structure from Alexandria via LeMat-Bulk. Energies are from GGA-PBE.

abc: 5.502 5.502 5.502
angles: 54.65 54.65 54.65
Atoms (fractional coordinates):
Hg 0.834 0.834 0.834
Hg 0.166 0.166 0.166
Mo 0.500 0.500 0.500
Mo 0.000 0.339 0.661
Mo 0.339 0.661 0.000
Mo 0.661 0.000 0.339

Properties
Offset from the most stable computed form (meV/atom): 214
ΔE_f (eV per atom): 0.618
E (Ry/atom): -0.493
DOS at the Fermi energy (states/eV per atom): 0.815